Record 1
DFT (GGA-PBE) results for ErSbPt after structural relaxation.

Unit cell a=4.481 b=4.481 c=3.955 alpha=90.00 beta=90.00 gamma=120.00
Element x y z (fractional)
Er (0.000, 0.000, 0.000)
Sb (0.667, 0.333, 0.522)
Pt (0.333, 0.667, 0.409)

---

Record 2
DFT (GGA-PBE) results for Ca4Bi2H after structural relaxation.

Unit cell a=6.639 b=6.972 c=9.308 alpha=90.00 beta=110.37 gamma=90.00
Element x y z (fractional)
Ca (0.024, 0.001, 0.276)
Ca (0.024, 0.499, 0.276)
Ca (0.368, 0.750, 0.061)
Ca (0.416, 0.750, 0.633)
Ca (0.584, 0.250, 0.367)
Ca (0.632, 0.250, 0.939)
Ca (0.976, 0.501, 0.724)
Ca (0.976, 0.999, 0.724)
Bi (0.205, 0.250, 0.039)
Bi (0.298, 0.250, 0.586)
Bi (0.702, 0.750, 0.414)
Bi (0.795, 0.750, 0.961)
H (0.212, 0.750, 0.791)
H (0.788, 0.250, 0.209)

---

Record 3
DFT (GGA-PBE) results for Tb2Pm3Nd6Y after structural relaxation.

Values from the calculation:
Its formation energy is 0.0120 eV/atom.

Unit cell a=6.328 b=6.328 c=12.041 alpha=95.02 beta=95.02 gamma=120.01
Element x y z (fractional)
Tb (0.167, 0.833, 0.000)
Tb (0.833, 0.167, 0.000)
Pm (0.000, 0.000, 0.500)
Pm (0.333, 0.667, 0.500)
Pm (0.667, 0.333, 0.500)
Nd (0.083, 0.417, 0.753)
Nd (0.249, 0.249, 0.248)
Nd (0.417, 0.083, 0.753)
Nd (0.583, 0.917, 0.247)
Nd (0.751, 0.751, 0.752)
Nd (0.917, 0.583, 0.247)
Y (0.500, 0.500, 0.000)

---

Record 4
DFT (GGA-PBE) results for PaHCl2 after structural relaxation.

Unit cell a=6.588 b=3.803 c=7.606 alpha=90.00 beta=105.95 gamma=90.00
Element x y z (fractional)
Pa (0.000, 0.000, 0.000)
Pa (0.500, 0.500, 0.000)
H (0.167, 0.500, 0.000)
H (0.667, 0.000, 0.000)
Cl (0.251, 0.000, 0.742)
Cl (0.415, 0.000, 0.258)
Cl (0.751, 0.500, 0.742)
Cl (0.915, 0.500, 0.258)

---

Record 5
DFT (GGA-PBE) results for YHoEr2 after structural relaxation.

Values from the calculation:
Its formation energy is 0.0254 eV/atom.

Unit cell a=3.529 b=3.529 c=34.505 alpha=90.00 beta=90.00 gamma=120.00
Element x y z (fractional)
Y (0.000, 0.000, 0.000)
Y (0.333, 0.667, 0.667)
Y (0.667, 0.333, 0.333)
Ho (0.000, 0.000, 0.500)
Ho (0.333, 0.667, 0.167)
Ho (0.667, 0.333, 0.833)
Er (0.000, 0.000, 0.249)
Er (0.000, 0.000, 0.751)
Er (0.333, 0.667, 0.417)
Er (0.333, 0.667, 0.916)
Er (0.667, 0.333, 0.084)
Er (0.667, 0.333, 0.583)

---

no.,E (eV/f.u.)
1,-17.77
2,-24.33
3,-58.44
4,-21.69
5,-20.07